Entry 1:
This record from Alexandria describes Bi2Pd9Pb after structural relaxation. The functional is PBE-GGA.

Results
Symmetry = No. 123
DFT total energy = -5.100 eV/atom
Mass density = 12453 kg/m³
ΔE_f = -0.250 eV per atom

Geometry as extended XYZ:
```
12
Lattice="4.138 0.000 0.000 0.000 4.138 0.000 0.000 0.000 12.330" Properties=species:S:1:pos:R:3 pbc="T T T"
Bi 0.000 0.000 2.074
Bi 0.000 0.000 10.256
Pd 0.000 2.069 0.000
Pd 0.000 2.069 4.127
Pd 0.000 2.069 8.203
Pd 2.069 0.000 0.000
Pd 2.069 0.000 4.127
Pd 2.069 0.000 8.203
Pd 2.069 2.069 2.052
Pd 2.069 2.069 6.165
Pd 2.069 2.069 10.278
Pb 0.000 0.000 6.165
```



Entry 2:
This record from Alexandria describes LiAc3Tc after structural relaxation. The functional is PBE-GGA.

Results
Symmetry = No. 221
DFT total energy = -4.798 eV/atom
Mass density = 6836 kg/m³
ΔE_f = 0.123 eV per atom

Geometry as extended XYZ:
```
5
Lattice="5.758 0.000 0.000 0.000 5.758 0.000 0.000 0.000 5.758" Properties=species:S:1:pos:R:3 pbc="T T T"
Li 0.000 0.000 0.000
Ac 0.000 2.879 2.879
Ac 2.879 0.000 2.879
Ac 2.879 2.879 0.000
Tc 2.879 2.879 2.879
```



Entry 3:
This record from Alexandria describes Ba2Li3RhF12 after structural relaxation. The functional is PBE-GGA.

Results
Symmetry = No. 166
E_form (uncorrected) = -2.601 eV/atom
DFT total energy = -4.789 eV/atom
Mass density = 3814 kg/m³

Geometry as extended XYZ:
```
18
Lattice="3.757 2.169 5.577 -3.757 2.169 5.577 0.000 -4.338 5.577" Properties=species:S:1:pos:R:3 pbc="T T T"
Ba 0.000 0.000 2.487
Ba 0.000 0.000 14.245
Li -1.879 -1.085 5.577
Li -1.879 1.085 11.155
Li 0.000 2.169 5.577
Rh 0.000 0.000 8.366
F 0.000 -1.872 4.508
F -1.622 0.936 4.508
F -1.389 -0.802 7.346
F 0.000 -1.603 9.386
F -1.389 0.802 9.386
F -1.622 -0.936 12.224
F 1.622 0.936 4.508
F 1.389 -0.802 7.346
F 0.000 1.603 7.346
F 1.389 0.802 9.386
F 1.622 -0.936 12.224
F 0.000 1.872 12.224
```



Entry 4:
This record from Alexandria describes Pm6YHoEr2 after structural relaxation. The functional is PBE-GGA.

Results
Symmetry = No. 15
DFT total energy = -4.752 eV/atom
Mass density = 7228 kg/m³
ΔE_f = 0.115 eV per atom

Geometry as extended XYZ:
```
20
Lattice="4.595 -7.644 0.000 4.595 7.644 0.000 -1.216 0.000 9.539" Properties=species:S:1:pos:R:3 pbc="T T T"
Pm 2.425 4.215 1.779
Pm 3.369 4.894 5.281
Pm 3.997 4.894 9.027
Pm 3.202 1.649 3.635
Pm 6.158 4.215 2.990
Pm 5.381 1.649 1.134
Pm 2.594 -1.649 8.405
Pm 1.817 -4.215 6.548
Pm 4.773 -1.649 5.903
Pm 3.978 -4.894 0.512
Pm 4.605 -4.894 4.257
Pm 5.550 -4.215 7.760
Y 4.291 7.240 2.385
Y 3.683 -7.240 7.154
Ho 3.683 1.366 7.154
Ho 4.291 -1.366 2.385
Er 2.252 0.780 0.431
Er 1.644 -0.780 5.200
Er 6.331 0.780 4.338
Er 5.723 -0.780 9.108
```



Entry 5:
This record from Alexandria describes CsCdSeN2 after structural relaxation. The functional is PBE-GGA.

Results
Symmetry = No. 123
E_form (uncorrected) = 2.055 eV/atom
DFT total energy = -2.326 eV/atom
Mass density = 4094 kg/m³

Geometry as extended XYZ:
```
5
Lattice="4.413 0.000 0.000 0.000 4.413 0.000 0.000 0.000 7.337" Properties=species:S:1:pos:R:3 pbc="T T T"
Cs 0.000 0.000 0.000
Cd 2.206 2.206 3.668
Se 0.000 0.000 3.668
N 0.000 2.206 0.000
N 2.206 0.000 0.000
```



Entry 6:
This record from Alexandria describes LiPb2 after structural relaxation. The functional is PBE-GGA.

Results
Symmetry = No. 189
DFT total energy = -3.247 eV/atom
Mass density = 8775 kg/m³
ΔE_f = -0.137 eV per atom
Distance to the lowest polymorph of the same formula = 0.033 eV/atom

Geometry as extended XYZ:
```
9
Lattice="8.653 0.000 0.000 -4.327 7.494 0.000 0.000 0.000 3.689" Properties=species:S:1:pos:R:3 pbc="T T T"
Li 0.000 0.000 0.000
Li 0.000 4.996 1.844
Li 4.327 2.498 1.844
Pb -1.297 2.246 1.844
Pb -2.751 4.765 0.000
Pb 2.593 0.000 1.844
Pb 1.575 2.729 0.000
Pb 5.503 0.000 0.000
Pb 3.030 5.248 1.844
```